The following is a PBE calculation of crystalline AcPrTlIr at its relaxed geometry, from the Alexandria database.

a b c (Å): 5.4234 5.4234 5.4234
angles (deg): 60.00 60.00 60.00
Atoms (fractional coordinates):
Ir1 0.0000 0.0000 0.0000
Ac1 0.7500 0.7500 0.7500
Tl1 0.5000 0.5000 0.5000
Pr1 0.2500 0.2500 0.2500

Values from the calculation:
Space group: F-43m, No. 216
Formation energy from the elements (kJ/mol of formula units): -109